The following is a DFT calculation (PBE+U) of a geometry-optimized SiP2WO structure.

Values from the calculation:
* total magnetic moment: 0.00 Bohr magnetons per cell
* polymorph energy (0 for the lowest one): 148 meV/atom

a = 4.8558 Å, b = 4.8558 Å, c = 3.7942 Å
α = 90.00°, β = 90.00°, γ = 90.00°
Space group P4/mmm (No. 123)
Unique sites:
Si  0.0000  0.0000  0.0000 x1
P  0.0000  0.5000  0.5000 x2
W  0.5000  0.5000  0.5000 x1
O  0.5000  0.5000  0.0000 x1